a:
# Dy8Tl2Ir3 PBE relaxed
data_Dy8Tl2Ir3
_chemical_formula_sum 'Dy8 Tl2 Ir3'
_cell_length_a 8.995
_cell_length_b 8.995
_cell_length_c 6.793
_cell_angle_alpha 107.21
_cell_angle_beta 107.21
_cell_angle_gamma 50.20
_symmetry_space_group_name_H-M 'P 1'
_symmetry_Int_Tables_number 1
_symmetry_space_group_name_Hall 'P 1'
loop_
_atom_site_label
_atom_site_fract_x
_atom_site_fract_y
_atom_site_fract_z
Dy1 0.089 0.089 0.420
Dy2 0.159 0.649 0.096
Dy3 0.351 0.841 0.904
Dy4 0.363 0.363 0.534
Dy5 0.637 0.637 0.466
Dy6 0.649 0.159 0.096
Dy7 0.841 0.351 0.904
Dy8 0.911 0.911 0.580
Tl1 0.248 0.248 0.852
Tl2 0.752 0.752 0.148
Ir1 0.000 0.000 0.000
Ir2 0.300 0.700 0.500
Ir3 0.700 0.300 0.500
# D(E_F): 11.10 states/eV/cell
# Total magnetization: 0.000 μB/atom

=====

b:
# Dy8Tl2Ir3 PBE relaxed
data_Dy8Tl2Ir3
_chemical_formula_sum 'Dy8 Tl2 Ir3'
_cell_length_a 8.835
_cell_length_b 4.929
_cell_length_c 8.840
_cell_angle_alpha 90.00
_cell_angle_beta 112.04
_cell_angle_gamma 90.00
_symmetry_space_group_name_H-M 'P 1'
_symmetry_Int_Tables_number 1
_symmetry_space_group_name_Hall 'P 1'
loop_
_atom_site_label
_atom_site_fract_x
_atom_site_fract_y
_atom_site_fract_z
Dy1 0.111 0.000 0.389
Dy2 0.143 0.500 0.867
Dy3 0.367 0.500 0.643
Dy4 0.386 0.000 0.114
Dy5 0.614 0.000 0.886
Dy6 0.633 0.500 0.357
Dy7 0.857 0.500 0.133
Dy8 0.889 0.000 0.611
Tl1 0.243 0.500 0.258
Tl2 0.757 0.500 0.742
Ir1 0.247 0.000 0.747
Ir2 0.500 0.500 0.000
Ir3 0.753 0.000 0.253
# D(E_F): 9.89 states/eV/cell
# Total magnetization: 0.000 μB/atom

=====

List of relative energies, unit meV/atom: a 64; b 0

=====

a:
# Dy3TlIr PBE relaxed
data_Dy3TlIr
_chemical_formula_sum 'Dy12 Tl4 Ir4'
_cell_length_a 7.289
_cell_length_b 4.809
_cell_length_c 15.099
_cell_angle_alpha 90.00
_cell_angle_beta 90.00
_cell_angle_gamma 90.00
_symmetry_space_group_name_H-M 'P 1'
_symmetry_Int_Tables_number 1
_symmetry_space_group_name_Hall 'P 1'
loop_
_atom_site_label
_atom_site_fract_x
_atom_site_fract_y
_atom_site_fract_z
Dy1 0.013 0.250 0.098
Dy2 0.133 0.750 0.457
Dy3 0.195 0.250 0.723
Dy4 0.305 0.750 0.223
Dy5 0.367 0.250 0.957
Dy6 0.487 0.750 0.598
Dy7 0.513 0.250 0.402
Dy8 0.633 0.750 0.043
Dy9 0.695 0.250 0.777
Dy10 0.805 0.750 0.277
Dy11 0.867 0.250 0.543
Dy12 0.987 0.750 0.902
Tl1 0.081 0.250 0.321
Tl2 0.419 0.750 0.821
Tl3 0.581 0.250 0.179
Tl4 0.919 0.750 0.679
Ir1 0.230 0.750 0.045
Ir2 0.270 0.250 0.545
Ir3 0.730 0.750 0.455
Ir4 0.770 0.250 0.955
# D(E_F): 11.05 states/eV/cell
# Total magnetization: 0.000 μB/atom

=====

b:
# Dy3TlIr PBE relaxed
data_Dy3TlIr
_chemical_formula_sum 'Dy6 Tl2 Ir2'
_cell_length_a 6.717
_cell_length_b 6.717
_cell_length_c 9.030
_cell_angle_alpha 111.19
_cell_angle_beta 111.19
_cell_angle_gamma 48.76
_symmetry_space_group_name_H-M 'P 1'
_symmetry_Int_Tables_number 1
_symmetry_space_group_name_Hall 'P 1'
loop_
_atom_site_label
_atom_site_fract_x
_atom_site_fract_y
_atom_site_fract_z
Dy1 0.105 0.105 0.219
Dy2 0.162 0.162 0.656
Dy3 0.385 0.385 0.100
Dy4 0.615 0.615 0.900
Dy5 0.838 0.838 0.344
Dy6 0.895 0.895 0.781
Tl1 0.385 0.385 0.542
Tl2 0.615 0.615 0.458
Ir1 0.139 0.139 0.938
Ir2 0.861 0.861 0.062
# D(E_F): 7.60 states/eV/cell
# Total magnetization: 0.000 μB/atom

=====

List of relative energies, unit meV/atom: a 0; b 85

=====

a:
# Dy6Tl2Ir PBE relaxed
data_Dy6Tl2Ir
_chemical_formula_sum 'Dy6 Tl2 Ir1'
_cell_length_a 8.679
_cell_length_b 8.679
_cell_length_c 8.679
_cell_angle_alpha 145.96
_cell_angle_beta 130.60
_cell_angle_gamma 61.35
_symmetry_space_group_name_H-M 'P 1'
_symmetry_Int_Tables_number 1
_symmetry_space_group_name_Hall 'P 1'
loop_
_atom_site_label
_atom_site_fract_x
_atom_site_fract_y
_atom_site_fract_z
Dy1 0.084 0.346 0.738
Dy2 0.224 0.000 0.224
Dy3 0.393 0.654 0.738
Dy4 0.607 0.346 0.262
Dy5 0.776 0.000 0.776
Dy6 0.916 0.654 0.262
Tl1 0.333 0.833 0.500
Tl2 0.667 0.167 0.500
Ir1 0.000 0.500 0.500
# D(E_F): 7.85 states/eV/cell
# Total magnetization: 0.000 μB/atom

=====

b:
# Dy6Tl2Ir PBE relaxed
data_Dy6Tl2Ir
_chemical_formula_sum 'Dy6 Tl2 Ir1'
_cell_length_a 3.868
_cell_length_b 8.615
_cell_length_c 8.615
_cell_angle_alpha 119.33
_cell_angle_beta 90.00
_cell_angle_gamma 90.00
_symmetry_space_group_name_H-M 'P 1'
_symmetry_Int_Tables_number 1
_symmetry_space_group_name_Hall 'P 1'
loop_
_atom_site_label
_atom_site_fract_x
_atom_site_fract_y
_atom_site_fract_z
Dy1 0.000 0.000 0.000
Dy2 0.000 0.514 0.749
Dy3 0.000 0.749 0.514
Dy4 0.500 0.140 0.751
Dy5 0.500 0.355 0.355
Dy6 0.500 0.751 0.140
Tl1 0.000 0.083 0.420
Tl2 0.000 0.420 0.083
Ir1 0.500 0.766 0.766
# D(E_F): 10.31 states/eV/cell
# Total magnetization: 0.000 μB/atom

=====

List of relative energies, unit meV/atom: a 154; b 0

=====

a:
# Dy2TmIr2 PBE relaxed
data_Dy2TmIr2
_chemical_formula_sum 'Dy4 Tm2 Ir4'
_cell_length_a 7.780
_cell_length_b 7.780
_cell_length_c 5.479
_cell_angle_alpha 90.00
_cell_angle_beta 90.00
_cell_angle_gamma 134.78
_symmetry_space_group_name_H-M 'P 1'
_symmetry_Int_Tables_number 1
_symmetry_space_group_name_Hall 'P 1'
loop_
_atom_site_label
_atom_site_fract_x
_atom_site_fract_y
_atom_site_fract_z
Dy1 0.080 0.920 0.750
Dy2 0.282 0.718 0.250
Dy3 0.718 0.282 0.750
Dy4 0.920 0.080 0.250
Tm1 0.500 0.500 0.000
Tm2 0.500 0.500 0.500
Ir1 0.117 0.363 0.750
Ir2 0.363 0.117 0.250
Ir3 0.637 0.883 0.750
Ir4 0.883 0.637 0.250
# D(E_F): 6.22 states/eV/cell
# Total magnetization: 0.000 μB/atom

=====

b:
# Dy2TmIr2 PBE relaxed
data_Dy2TmIr2
_chemical_formula_sum 'Dy4 Tm2 Ir4'
_cell_length_a 5.980
_cell_length_b 5.980
_cell_length_c 8.190
_cell_angle_alpha 106.09
_cell_angle_beta 106.09
_cell_angle_gamma 55.66
_symmetry_space_group_name_H-M 'P 1'
_symmetry_Int_Tables_number 1
_symmetry_space_group_name_Hall 'P 1'
loop_
_atom_site_label
_atom_site_fract_x
_atom_site_fract_y
_atom_site_fract_z
Dy1 0.006 0.698 0.849
Dy2 0.302 0.994 0.651
Dy3 0.698 0.006 0.349
Dy4 0.994 0.302 0.151
Tm1 0.352 0.648 0.250
Tm2 0.648 0.352 0.750
Ir1 0.208 0.512 0.493
Ir2 0.488 0.792 0.007
Ir3 0.512 0.208 0.993
Ir4 0.792 0.488 0.507
# D(E_F): 7.13 states/eV/cell
# Total magnetization: 0.000 μB/atom

=====

List of relative energies, unit meV/atom: a 298; b 0

=====

a:
# Dy2TmIr PBE relaxed
data_Dy2TmIr
_chemical_formula_sum 'Dy8 Tm4 Ir4'
_cell_length_a 7.189
_cell_length_b 9.253
_cell_length_c 6.358
_cell_angle_alpha 90.00
_cell_angle_beta 90.00
_cell_angle_gamma 90.00
_symmetry_space_group_name_H-M 'P 1'
_symmetry_Int_Tables_number 1
_symmetry_space_group_name_Hall 'P 1'
loop_
_atom_site_label
_atom_site_fract_x
_atom_site_fract_y
_atom_site_fract_z
Dy1 0.178 0.062 0.176
Dy2 0.178 0.438 0.176
Dy3 0.322 0.562 0.676
Dy4 0.322 0.938 0.676
Dy5 0.678 0.062 0.324
Dy6 0.678 0.438 0.324
Dy7 0.822 0.562 0.824
Dy8 0.822 0.938 0.824
Tm1 0.035 0.250 0.631
Tm2 0.465 0.750 0.131
Tm3 0.535 0.250 0.869
Tm4 0.965 0.750 0.369
Ir1 0.115 0.750 0.959
Ir2 0.385 0.250 0.459
Ir3 0.615 0.750 0.541
Ir4 0.885 0.250 0.041
# D(E_F): 15.96 states/eV/cell
# Total magnetization: 0.000 μB/atom

=====

b:
# Dy2TmIr PBE relaxed
data_Dy2TmIr
_chemical_formula_sum 'Dy2 Tm1 Ir1'
_cell_length_a 9.555
_cell_length_b 9.555
_cell_length_c 9.555
_cell_angle_alpha 23.08
_cell_angle_beta 23.08
_cell_angle_gamma 23.08
_symmetry_space_group_name_H-M 'P 1'
_symmetry_Int_Tables_number 1
_symmetry_space_group_name_Hall 'P 1'
loop_
_atom_site_label
_atom_site_fract_x
_atom_site_fract_y
_atom_site_fract_z
Dy1 0.226 0.226 0.226
Dy2 0.774 0.774 0.774
Tm1 0.000 0.000 0.000
Ir1 0.500 0.500 0.500
# D(E_F): 4.63 states/eV/cell
# Total magnetization: 0.223 μB/atom

=====

List of relative energies, unit meV/atom: a 0; b 310

=====

a:
# Dy2TmIr PBE relaxed
data_Dy2TmIr
_chemical_formula_sum 'Dy4 Tm2 Ir2'
_cell_length_a 6.293
_cell_length_b 6.293
_cell_length_c 9.073
_cell_angle_alpha 90.00
_cell_angle_beta 90.00
_cell_angle_gamma 144.02
_symmetry_space_group_name_H-M 'P 1'
_symmetry_Int_Tables_number 1
_symmetry_space_group_name_Hall 'P 1'
loop_
_atom_site_label
_atom_site_fract_x
_atom_site_fract_y
_atom_site_fract_z
Dy1 0.141 0.859 0.566
Dy2 0.141 0.859 0.934
Dy3 0.859 0.141 0.066
Dy4 0.859 0.141 0.434
Tm1 0.425 0.575 0.750
Tm2 0.575 0.425 0.250
Ir1 0.246 0.754 0.250
Ir2 0.754 0.246 0.750
# D(E_F): 8.10 states/eV/cell
# Total magnetization: 0.000 μB/atom

=====

b:
# Dy2TmIr PBE relaxed
data_Dy2TmIr
_chemical_formula_sum 'Dy2 Tm1 Ir1'
_cell_length_a 3.490
_cell_length_b 3.490
_cell_length_c 8.636
_cell_angle_alpha 90.00
_cell_angle_beta 90.00
_cell_angle_gamma 90.00
_symmetry_space_group_name_H-M 'P 1'
_symmetry_Int_Tables_number 1
_symmetry_space_group_name_Hall 'P 1'
loop_
_atom_site_label
_atom_site_fract_x
_atom_site_fract_y
_atom_site_fract_z
Dy1 0.000 0.000 0.188
Dy2 0.000 0.000 0.812
Tm1 0.500 0.500 0.500
Ir1 0.500 0.500 0.000
# D(E_F): 5.34 states/eV/cell
# Total magnetization: 0.046 μB/atom

=====

List of relative energies, unit meV/atom: a 0; b 178

=====

a:
# DyTmIr PBE relaxed
data_DyTmIr
_chemical_formula_sum 'Dy1 Tm1 Ir1'
_cell_length_a 4.773
_cell_length_b 4.773
_cell_length_c 4.773
_cell_angle_alpha 60.00
_cell_angle_beta 60.00
_cell_angle_gamma 60.00
_symmetry_space_group_name_H-M 'P 1'
_symmetry_Int_Tables_number 1
_symmetry_space_group_name_Hall 'P 1'
loop_
_atom_site_label
_atom_site_fract_x
_atom_site_fract_y
_atom_site_fract_z
Dy1 0.000 0.000 0.000
Tm1 0.500 0.500 0.500
Ir1 0.750 0.750 0.750
# D(E_F): 2.86 states/eV/cell
# Total magnetization: 0.000 μB/atom

=====

b:
# DyTmIr PBE relaxed
data_DyTmIr
_chemical_formula_sum 'Dy1 Tm1 Ir1'
_cell_length_a 6.764
_cell_length_b 6.764
_cell_length_c 6.764
_cell_angle_alpha 150.52
_cell_angle_beta 150.52
_cell_angle_gamma 42.18
_symmetry_space_group_name_H-M 'P 1'
_symmetry_Int_Tables_number 1
_symmetry_space_group_name_Hall 'P 1'
loop_
_atom_site_label
_atom_site_fract_x
_atom_site_fract_y
_atom_site_fract_z
Dy1 0.000 0.000 0.000
Tm1 0.743 0.743 0.000
Ir1 0.369 0.369 0.000
# D(E_F): 3.23 states/eV/cell
# Total magnetization: 0.000 μB/atom

=====

List of relative energies, unit meV/atom: a 0; b 127

=====

a:
# DyTmIr PBE relaxed
data_DyTmIr
_chemical_formula_sum 'Dy2 Tm2 Ir2'
_cell_length_a 4.772
_cell_length_b 4.772
_cell_length_c 6.741
_cell_angle_alpha 90.07
_cell_angle_beta 90.07
_cell_angle_gamma 89.99
_symmetry_space_group_name_H-M 'P 1'
_symmetry_Int_Tables_number 1
_symmetry_space_group_name_Hall 'P 1'
loop_
_atom_site_label
_atom_site_fract_x
_atom_site_fract_y
_atom_site_fract_z
Dy1 0.001 0.999 0.750
Dy2 0.999 0.001 0.250
Tm1 0.500 0.500 0.250
Tm2 0.500 0.500 0.750
Ir1 0.000 0.500 0.000
Ir2 0.500 0.000 0.500
# D(E_F): 4.42 states/eV/cell
# Total magnetization: 0.000 μB/atom

=====

b:
# DyTmIr PBE relaxed
data_DyTmIr
_chemical_formula_sum 'Dy3 Tm3 Ir3'
_cell_length_a 4.499
_cell_length_b 7.396
_cell_length_c 7.396
_cell_angle_alpha 120.11
_cell_angle_beta 90.00
_cell_angle_gamma 90.00
_symmetry_space_group_name_H-M 'P 1'
_symmetry_Int_Tables_number 1
_symmetry_space_group_name_Hall 'P 1'
loop_
_atom_site_label
_atom_site_fract_x
_atom_site_fract_y
_atom_site_fract_z
Dy1 0.000 0.000 0.000
Dy2 0.000 0.411 0.822
Dy3 0.000 0.822 0.411
Tm1 0.500 0.152 0.410
Tm2 0.500 0.410 0.152
Tm3 0.500 0.670 0.670
Ir1 0.000 0.411 0.411
Ir2 0.500 0.077 0.743
Ir3 0.500 0.743 0.077
# D(E_F): 9.74 states/eV/cell
# Total magnetization: 0.000 μB/atom

=====

List of relative energies, unit meV/atom: a 0; b 14

=====

a:
# DyTm3Ir PBE relaxed
data_DyTm3Ir
_chemical_formula_sum 'Dy1 Tm3 Ir1'
_cell_length_a 5.359
_cell_length_b 5.359
_cell_length_c 5.359
_cell_angle_alpha 90.00
_cell_angle_beta 90.00
_cell_angle_gamma 90.00
_symmetry_space_group_name_H-M 'P 1'
_symmetry_Int_Tables_number 1
_symmetry_space_group_name_Hall 'P 1'
loop_
_atom_site_label
_atom_site_fract_x
_atom_site_fract_y
_atom_site_fract_z
Dy1 0.000 0.000 0.000
Tm1 0.000 0.500 0.500
Tm2 0.500 0.000 0.500
Tm3 0.500 0.500 0.000
Ir1 0.500 0.500 0.500
# D(E_F): 6.46 states/eV/cell
# Total magnetization: 0.000 μB/atom

=====

b:
# DyTm3Ir PBE relaxed
data_DyTm3Ir
_chemical_formula_sum 'Dy2 Tm6 Ir2'
_cell_length_a 7.192
_cell_length_b 7.192
_cell_length_c 7.898
_cell_angle_alpha 122.99
_cell_angle_beta 122.99
_cell_angle_gamma 72.41
_symmetry_space_group_name_H-M 'P 1'
_symmetry_Int_Tables_number 1
_symmetry_space_group_name_Hall 'P 1'
loop_
_atom_site_label
_atom_site_fract_x
_atom_site_fract_y
_atom_site_fract_z
Dy1 0.053 0.053 0.340
Dy2 0.947 0.947 0.660
Tm1 0.061 0.453 0.214
Tm2 0.443 0.443 0.739
Tm3 0.453 0.061 0.214
Tm4 0.547 0.939 0.786
Tm5 0.557 0.557 0.261
Tm6 0.939 0.547 0.786
Ir1 0.253 0.253 0.883
Ir2 0.747 0.747 0.117
# D(E_F): 11.66 states/eV/cell
# Total magnetization: 0.123 μB/atom

=====

List of relative energies, unit meV/atom: a 132; b 0

=====

a:
# DyTm2Ir PBE relaxed
data_DyTm2Ir
_chemical_formula_sum 'Dy1 Tm2 Ir1'
_cell_length_a 10.627
_cell_length_b 10.627
_cell_length_c 10.627
_cell_angle_alpha 20.00
_cell_angle_beta 20.00
_cell_angle_gamma 20.00
_symmetry_space_group_name_H-M 'P 1'
_symmetry_Int_Tables_number 1
_symmetry_space_group_name_Hall 'P 1'
loop_
_atom_site_label
_atom_site_fract_x
_atom_site_fract_y
_atom_site_fract_z
Dy1 0.000 0.000 0.000
Tm1 0.113 0.113 0.113
Tm2 0.887 0.887 0.887
Ir1 0.500 0.500 0.500
# D(E_F): 5.25 states/eV/cell
# Total magnetization: 0.002 μB/atom

=====

b:
# DyTm2Ir PBE relaxed
data_DyTm2Ir
_chemical_formula_sum 'Dy2 Tm4 Ir2'
_cell_length_a 6.291
_cell_length_b 6.291
_cell_length_c 8.963
_cell_angle_alpha 90.00
_cell_angle_beta 90.00
_cell_angle_gamma 144.14
_symmetry_space_group_name_H-M 'P 1'
_symmetry_Int_Tables_number 1
_symmetry_space_group_name_Hall 'P 1'
loop_
_atom_site_label
_atom_site_fract_x
_atom_site_fract_y
_atom_site_fract_z
Dy1 0.072 0.928 0.750
Dy2 0.928 0.072 0.250
Tm1 0.357 0.643 0.566
Tm2 0.357 0.643 0.934
Tm3 0.643 0.357 0.066
Tm4 0.643 0.357 0.434
Ir1 0.253 0.747 0.250
Ir2 0.747 0.253 0.750
# D(E_F): 8.52 states/eV/cell
# Total magnetization: 0.000 μB/atom

=====

List of relative energies, unit meV/atom: a 435; b 0

=====

a:
# DyTm2Ir PBE relaxed
data_DyTm2Ir
_chemical_formula_sum 'Dy4 Tm8 Ir4'
_cell_length_a 7.197
_cell_length_b 9.100
_cell_length_c 6.350
_cell_angle_alpha 90.00
_cell_angle_beta 90.00
_cell_angle_gamma 90.00
_symmetry_space_group_name_H-M 'P 1'
_symmetry_Int_Tables_number 1
_symmetry_space_group_name_Hall 'P 1'
loop_
_atom_site_label
_atom_site_fract_x
_atom_site_fract_y
_atom_site_fract_z
Dy1 0.033 0.250 0.128
Dy2 0.467 0.750 0.628
Dy3 0.533 0.250 0.372
Dy4 0.967 0.750 0.872
Tm1 0.176 0.062 0.673
Tm2 0.176 0.438 0.673
Tm3 0.324 0.562 0.173
Tm4 0.324 0.938 0.173
Tm5 0.676 0.062 0.827
Tm6 0.676 0.438 0.827
Tm7 0.824 0.562 0.327
Tm8 0.824 0.938 0.327
Ir1 0.116 0.750 0.453
Ir2 0.384 0.250 0.953
Ir3 0.616 0.750 0.047
Ir4 0.884 0.250 0.547
# D(E_F): 14.75 states/eV/cell
# Total magnetization: 0.000 μB/atom

=====

b:
# DyTm2Ir PBE relaxed
data_DyTm2Ir
_chemical_formula_sum 'Dy1 Tm2 Ir1'
_cell_length_a 3.431
_cell_length_b 3.431
_cell_length_c 8.721
_cell_angle_alpha 90.00
_cell_angle_beta 90.00
_cell_angle_gamma 90.00
_symmetry_space_group_name_H-M 'P 1'
_symmetry_Int_Tables_number 1
_symmetry_space_group_name_Hall 'P 1'
loop_
_atom_site_label
_atom_site_fract_x
_atom_site_fract_y
_atom_site_fract_z
Dy1 0.000 0.000 0.000
Tm1 0.500 0.500 0.314
Tm2 0.500 0.500 0.686
Ir1 0.000 0.000 0.500
# D(E_F): 4.92 states/eV/cell
# Total magnetization: 0.000 μB/atom

=====

List of relative energies, unit meV/atom: a 0; b 165